First-principles (PBE) data for crystalline SrSnI2 at its relaxed geometry, as listed in Alexandria via LeMat-Bulk.

Geometry as CIF:
```
data_SrSnI2
_space_group_name_H-M_alt 'P 1'
_space_group_IT_number 1
_cell_length_a 9.100
_cell_length_b 9.100
_cell_length_c 7.496
_cell_angle_alpha 52.63
_cell_angle_beta 52.63
_cell_angle_gamma 90.00
loop_
_space_group_symop_operation_xyz
'x,y,z'
loop_
_atom_site_label
_atom_site_type_symbol
_atom_site_fract_x
_atom_site_fract_y
_atom_site_fract_z
I1 I 0.126 0.625 0.250
I2 I 0.375 0.376 0.750
Sr1 Sr 0.500 0.500 0.000
Sn1 Sn 0.750 0.250 0.500
I3 I 0.624 0.125 0.250
Sr2 Sr 0.250 0.750 0.500
I4 I 0.875 0.874 0.750
Sn2 Sn 0.000 0.000 0.000
```

Calculated values
Formation energy from raw total energies (meV per atom): -666
ρ (Mg/m³): 4.8